1.
Ba2CdGaAu6: relaxed, PBE-GGA.

Cell lengths 6.9211, 6.9799, 7.4693 Å; angles 63.04, 62.60, 60.48 degrees
Sites, in units of the cell vectors:
Ba1 0.2213 0.2208 0.3368
Ba2 0.7787 0.7792 0.6632
Cd1 0.5000 0.5000 0.5000
Ga1 0.0000 0.0000 0.0000
Au1 0.2450 0.6594 0.8502
Au2 0.2465 0.2442 0.8430
Au3 0.3343 0.7552 0.1567
Au4 0.6657 0.2448 0.8433
Au5 0.7535 0.7558 0.1570
Au6 0.7550 0.3406 0.1498

Summary:
Uncorrected energy   -0.1185 Ha/atom
Total moment   0.0 μB/f.u.
Fermi-level density of states   3.108 states/eV per cell



2.
Ba2CdGa3Au12: relaxed, PBE-GGA.

Cell lengths 8.5460, 8.5460, 8.5460 Å; angles 63.23, 63.23, 63.23 degrees
Sites, in units of the cell vectors:
Ba1 0.1130 0.1130 0.1130
Ba2 0.8870 0.8870 0.8870
Cd1 0.5000 0.5000 0.5000
Ga1 0.0000 0.5000 0.5000
Ga2 0.5000 0.0000 0.5000
Ga3 0.5000 0.5000 0.0000
Au1 0.1252 0.6244 0.6244
Au2 0.1563 0.1563 0.6306
Au3 0.1563 0.6306 0.1563
Au4 0.3694 0.8437 0.8437
Au5 0.3756 0.3756 0.8748
Au6 0.3756 0.8748 0.3756
Au7 0.6244 0.1252 0.6244
Au8 0.6244 0.6244 0.1252
Au9 0.6306 0.1563 0.1563
Au10 0.8437 0.3694 0.8437
Au11 0.8437 0.8437 0.3694
Au12 0.8748 0.3756 0.3756

Summary:
Uncorrected energy   -0.1129 Ha/atom
Total moment   0.0 μB/f.u.
Fermi-level density of states   8.563 states/eV per cell



3.
BaCd2GaAu4: relaxed, PBE-GGA.

Cell lengths 9.9953, 9.9953, 9.9953 Å; angles 27.47, 27.47, 27.47 degrees
Sites, in units of the cell vectors:
Ba1 0.0000 0.0000 0.0000
Cd1 0.2407 0.2407 0.2407
Cd2 0.7593 0.7593 0.7593
Ga1 0.5000 0.5000 0.5000
Au1 0.1366 0.1366 0.1366
Au2 0.4048 0.4048 0.4048
Au3 0.5952 0.5952 0.5952
Au4 0.8634 0.8634 0.8634

Summary:
Uncorrected energy   -0.1032 Ha/atom
Total moment   0.0 μB/f.u.
Fermi-level density of states   4.524 states/eV per cell



4.
BaGdCdAu: relaxed, PBE-GGA.

Cell lengths 5.5433, 5.5433, 5.5433 Å; angles 60.00, 60.00, 60.00 degrees
Sites, in units of the cell vectors:
Ba1 0.0000 0.0000 0.0000
Gd1 0.5000 0.5000 0.5000
Cd1 0.7500 0.7500 0.7500
Au1 0.2500 0.2500 0.2500

Summary:
Uncorrected energy   -0.1995 Ha/atom
Total moment   7.3 μB/f.u.
Fermi-level density of states   5.796 states/eV per cell